Compound: Hf2CrF
Source: Alexandria
Functional: PBE+U
Structure: optimized geometry

Geometry as POSCAR:
```
Hf2CrF
1.0
-2.633 2.633 6.210
2.633 -2.633 6.210
2.633 2.633 -6.210
Hf Cr F
4 2 2
direct
0.003 0.625 0.878 Hf
0.375 0.253 0.378 Hf
0.747 0.125 0.122 Hf
0.875 0.997 0.622 Hf
0.250 0.750 0.500 Cr
0.500 0.500 0.000 Cr
0.000 0.000 0.000 F
0.750 0.250 0.500 F
```

Computed properties:
* total magnetization: 8.32 μB per cell
* symmetry: I-42d, No. 122
* ΔE to the lowest computed polymorph: 43 meV per atom